[1]
LiTbTlCd: relaxed, PBE-GGA.

Lattice parameters (Å, degrees): 7.206 7.206 7.206 90.00 90.00 90.00
Atoms (fractional coordinates):
Li 0.000 0.000 0.000
Li 0.000 0.500 0.500
Li 0.500 0.000 0.500
Li 0.500 0.500 0.000
Tb 0.000 0.000 0.500
Tb 0.000 0.500 0.000
Tb 0.500 0.000 0.000
Tb 0.500 0.500 0.500
Tl 0.250 0.250 0.750
Tl 0.250 0.750 0.250
Tl 0.750 0.250 0.250
Tl 0.750 0.750 0.750
Cd 0.250 0.250 0.250
Cd 0.250 0.750 0.750
Cd 0.750 0.250 0.750
Cd 0.750 0.750 0.250

- symmetry = F-43m
- crystal system = cubic

---

[2]
DyNiGe: relaxed, PBE-GGA.

Lattice parameters (Å, degrees): 6.935 4.242 7.272 90.00 90.00 90.00
Atoms (fractional coordinates):
Dy 0.009 0.250 0.206
Dy 0.491 0.750 0.706
Dy 0.509 0.250 0.294
Dy 0.991 0.750 0.794
Ni 0.192 0.750 0.419
Ni 0.308 0.250 0.919
Ni 0.692 0.750 0.081
Ni 0.808 0.250 0.581
Ge 0.196 0.250 0.589
Ge 0.304 0.750 0.089
Ge 0.696 0.250 0.911
Ge 0.804 0.750 0.411

- symmetry = Pnma
- crystal system = orthorhombic

---

[3]
LiFeSnW: relaxed, PBE-GGA.

Lattice parameters (Å, degrees): 6.077 6.077 6.077 90.00 90.00 90.00
Atoms (fractional coordinates):
Li 0.000 0.000 0.000
Li 0.000 0.500 0.500
Li 0.500 0.000 0.500
Li 0.500 0.500 0.000
Fe 0.000 0.000 0.500
Fe 0.000 0.500 0.000
Fe 0.500 0.000 0.000
Fe 0.500 0.500 0.500
Sn 0.250 0.250 0.750
Sn 0.250 0.750 0.250
Sn 0.750 0.250 0.250
Sn 0.750 0.750 0.750
W 0.250 0.250 0.250
W 0.250 0.750 0.750
W 0.750 0.250 0.750
W 0.750 0.750 0.250

- symmetry = F-43m
- ΔE to the lowest computed polymorph (kJ/mol of atoms) = 0.0
- crystal system = cubic

---

| no. | density (g/cm³) | electronic total energy (Ry/atom) | size of the total moment (μB per atom) |
| --- | --- | --- | --- |
| 1 | 8.6 | -0.204 | 0.001 |
| 2 | 9.1 | -0.421 | 0.000 |
| 3 | 10.8 | -0.485 | 0.225 |